# 1
Compound: Tb3GdSi4
Source: the Open Quantum Materials Database
Functional: GGA-PBE
Structure: relaxed

Computed properties:
Total moment, μB per formula unit: 0.0
Space-group type: Pm
VASP energy, eV per formula unit: -46.87

Cell: 5.7369 3.8564 7.9584 Å, 90.00 90.02 90.00°
Sites, in units of the cell vectors:
Tb 0.0000 0.0000 0.0000
Tb 0.2300 0.5000 0.6419
Tb 0.5000 0.5000 0.1418
Gd 0.7300 0.0000 0.5000
Si 0.2436 0.0000 0.3587
Si 0.4864 0.0000 0.8589
Si 0.7436 0.5000 0.7832
Si 0.9866 0.5000 0.2829

---

# 2
Compound: AcInHg2
Source: the Open Quantum Materials Database
Functional: GGA-PBE
Structure: relaxed

Computed properties:
Total moment, μB per formula unit: 0.0
Space-group type: Pmmn
VASP energy, eV per formula unit: -9.22

Cell: 5.4060 7.7038 5.4071 Å, 90.00 90.00 90.00°
Sites, in units of the cell vectors:
Ac 0.2500 0.2500 0.2478
Ac 0.7500 0.7500 0.7522
In 0.2500 0.7500 0.2501
In 0.7500 0.2500 0.7499
Hg 0.2500 0.0001 0.7481
Hg 0.2500 0.4999 0.7481
Hg 0.7500 0.9999 0.2519
Hg 0.7500 0.5001 0.2519

---

# 3
Compound: KNaAsAu
Source: the Open Quantum Materials Database
Functional: GGA-PBE
Structure: relaxed

Computed properties:
Space-group type: F-43m
Relative energy among the computed polymorphs, eV/f.u.: 1.188

Cell: 5.0367 5.0367 5.0367 Å, 60.00 60.00 60.00°
Sites, in units of the cell vectors:
K 0.0000 0.0000 0.0000
Na 0.7500 0.7500 0.7500
As 0.2500 0.2500 0.2500
Au 0.5000 0.5000 0.5000

---

# 4
Compound: Ba2Pd17
Source: the Open Quantum Materials Database
Functional: GGA-PBE
Structure: relaxed

Computed properties:
Space-group type: R-3m
Relative energy among the computed polymorphs, eV/f.u.: 0.000

Cell: 7.0222 7.0222 7.0222 Å, 82.94 82.94 82.94°
Sites, in units of the cell vectors:
Ba 0.1591 0.1591 0.1591
Ba 0.8409 0.8409 0.8409
Pd 0.0000 0.5000 0.5000
Pd 0.1539 0.1539 0.6542
Pd 0.1539 0.6542 0.1539
Pd 0.2059 0.5000 0.7941
Pd 0.2059 0.7941 0.5000
Pd 0.3458 0.8461 0.8461
Pd 0.4013 0.4013 0.4013
Pd 0.5000 0.0000 0.5000
Pd 0.5000 0.2059 0.7941
Pd 0.5000 0.5000 0.0000
Pd 0.5000 0.7941 0.2059
Pd 0.5987 0.5987 0.5987
Pd 0.6542 0.1539 0.1539
Pd 0.7941 0.2059 0.5000
Pd 0.7941 0.5000 0.2059
Pd 0.8461 0.3458 0.8461
Pd 0.8461 0.8461 0.3458

---

# 5
Compound: YFeNiB
Source: the Open Quantum Materials Database
Functional: GGA-PBE
Structure: relaxed

Computed properties:
Total moment, μB per formula unit: 0.0
Space-group type: F-43m
Relative energy among the computed polymorphs, eV/f.u.: 0.486

Cell: 4.1879 4.1879 4.1879 Å, 60.00 60.00 60.00°
Sites, in units of the cell vectors:
Y 0.0000 0.0000 0.0000
Fe 0.7500 0.7500 0.7500
Ni 0.2500 0.2500 0.2500
B 0.5000 0.5000 0.5000

---

# 6
Compound: Ba2ZnTcS6
Source: the Open Quantum Materials Database
Functional: GGA-PBE
Structure: relaxed

Computed properties:
Total moment, μB per formula unit: 1.2
Space-group type: Fm-3m
VASP energy, eV per formula unit: -48.97

Cell: 6.8415 6.8415 6.8415 Å, 60.00 60.00 60.00°
Sites, in units of the cell vectors:
Ba 0.2500 0.2500 0.2500
Ba 0.7500 0.7500 0.7500
Zn 0.0000 0.0000 0.0000
Tc 0.5000 0.5000 0.5000
S 0.2533 0.2533 0.7467
S 0.2533 0.7467 0.2533
S 0.2533 0.7467 0.7467
S 0.7467 0.2533 0.2533
S 0.7467 0.2533 0.7467
S 0.7467 0.7467 0.2533